# 1
Computed, not measured: an optimized crystal structure of BeAl2Cd at the GGA-PBE level of DFT.

Properties
- Energy above the most stable polymorph in this dataset: 0.1081 eV per atom
- Space group: I4/mmm
- Calculated formation energy: 0.3186 eV per atom
- Total moment: 0.000 μB per cell

Geometry as POSCAR:
```
BeAl2Cd
1.0
-2.0011 2.0011 4.0743
2.0011 -2.0011 4.0743
2.0011 2.0011 -4.0743
Be Al Cd
1 2 1
Direct
0.0000 0.0000 0.0000
0.2500 0.7500 0.5000
0.7500 0.2500 0.5000
0.5000 0.5000 0.0000
```


# 2
Computed, not measured: an optimized crystal structure of BaSi2Te8As at the GGA-PBE level of DFT.

Properties
- E_form (uncorrected): -0.1832 eV per atom
- Space group: R-3
- Total moment: 0.000 μB per cell

Geometry as POSCAR:
```
BaSi2Te8As
1.0
3.3109 1.9116 10.3206
-3.3109 1.9116 10.3206
0.0000 -3.8231 10.3206
Ba Si Te As
1 2 8 1
Direct
0.0000 0.0000 0.0000
0.2529 0.2529 0.2529
0.7471 0.7471 0.7471
0.1307 0.7960 0.3901
0.2040 0.6099 0.8693
0.3344 0.3344 0.3344
0.3901 0.1307 0.7960
0.6099 0.8693 0.2040
0.6656 0.6656 0.6656
0.7960 0.3901 0.1307
0.8693 0.2040 0.6099
0.5000 0.5000 0.5000
```


# 3
Computed, not measured: an optimized crystal structure of Sc2FeOs2 at the GGA-PBE level of DFT.

Properties
- Energy above the most stable polymorph in this dataset: 0.9200 eV per atom
- Space group: I4/mmm
- Calculated formation energy: 0.7620 eV per atom
- Total moment: 4.738 μB per cell

Geometry as POSCAR:
```
Sc2FeOs2
1.0
-2.0455 2.0455 5.8559
2.0455 -2.0455 5.8559
2.0455 2.0455 -5.8559
Sc Fe Os
2 1 2
Direct
0.2500 0.7500 0.5000
0.7500 0.2500 0.5000
0.0000 0.0000 0.0000
0.3977 0.3977 0.0000
0.6023 0.6023 0.0000
```


# 4
Computed, not measured: an optimized crystal structure of Cd2POs at the GGA-PBE level of DFT.

Properties
- Energy above the most stable polymorph in this dataset: 0.5675 eV per atom
- Space group: I4/mmm
- Calculated formation energy: 0.6260 eV per atom
- Total moment: 0.000 μB per cell

Geometry as POSCAR:
```
Cd2POs
1.0
-1.9264 1.9264 4.5699
1.9264 -1.9264 4.5699
1.9264 1.9264 -4.5699
Cd P Os
2 1 1
Direct
0.2500 0.7500 0.5000
0.7500 0.2500 0.5000
0.0000 0.0000 0.0000
0.5000 0.5000 0.0000
```


# 5
Computed, not measured: an optimized crystal structure of Pm2HoAg2Hg2 at the GGA-PBE level of DFT.

Properties
- Space group: R-3m
- Calculated formation energy: -0.2376 eV per atom
- Total moment: 0.000 μB per cell

Geometry as POSCAR:
```
Pm2HoAg2Hg2
1.0
2.4394 1.4084 8.8174
-2.4394 1.4084 8.8174
0.0000 -2.8168 8.8174
Pm Ho Ag Hg
2 1 2 2
Direct
0.1226 0.1226 0.1226
0.8774 0.8774 0.8774
0.0000 0.0000 0.0000
0.3920 0.3920 0.3920
0.6080 0.6080 0.6080
0.2641 0.2641 0.2641
0.7359 0.7359 0.7359
```


# 6
Computed, not measured: an optimized crystal structure of K4Rb3F8 at the GGA-PBE level of DFT.

Properties
- E_form (uncorrected): -2.5062 eV per atom
- Space group: C2/m
- Total moment: 1.324 μB per cell

Geometry as POSCAR:
```
K4Rb3F8
1.0
5.5747 -5.5891 0.0000
5.5747 5.5891 0.0000
-5.5213 0.0000 5.5750
K Rb F
4 3 8
Direct
0.0000 0.0000 0.0000
0.0000 0.0000 0.5000
0.0000 0.5000 0.0000
0.5000 0.0000 0.0000
0.0000 0.5000 0.5000
0.5000 0.0000 0.5000
0.5000 0.5000 0.0000
0.2269 0.2269 0.4892
0.2278 0.2278 0.9649
0.2328 0.7672 0.5000
0.2457 0.7543 0.0000
0.7543 0.2457 0.0000
0.7672 0.2328 0.5000
0.7722 0.7722 0.0351
0.7731 0.7731 0.5108
```


# 7
Computed, not measured: an optimized crystal structure of ReBiW3 at the GGA-PBE level of DFT.

Properties
- Energy above the most stable polymorph in this dataset: 0.0000 eV per atom
- Space group: Pm-3m
- Calculated formation energy: 1.8680 eV per atom
- Total moment: 0.000 μB per cell

Geometry as POSCAR:
```
ReBiW3
1.0
4.8362 0.0000 0.0000
0.0000 4.8362 0.0000
0.0000 0.0000 4.8362
Re Bi W
1 1 3
Direct
0.0000 0.0000 0.0000
0.5000 0.5000 0.5000
0.0000 0.0000 0.5000
0.0000 0.5000 0.0000
0.5000 0.0000 0.0000
```


# 8
Computed, not measured: an optimized crystal structure of LiCuCl2 at the GGA-PBE level of DFT.

Properties
- E_form (uncorrected): -0.7303 eV per atom
- Space group: P4/mmm
- Total moment: 0.000 μB per cell

Geometry as POSCAR:
```
LiCuCl2
1.0
4.5735 0.0000 0.0000
0.0000 4.5735 0.0000
0.0000 0.0000 3.2075
Li Cu Cl
1 1 2
Direct
0.0000 0.0000 0.0000
0.5000 0.5000 0.0000
0.0000 0.5000 0.5000
0.5000 0.0000 0.5000
```


# 9
Computed, not measured: an optimized crystal structure of LaY2Tl at the GGA-PBE level of DFT.

Properties
- Energy above the most stable polymorph in this dataset: 0.0184 eV per atom
- Space group: I-4m2
- Calculated formation energy: -0.1777 eV per atom
- Total moment: 0.000 μB per cell

Geometry as POSCAR:
```
LaY2Tl
1.0
-2.4184 2.4184 5.1529
2.4184 -2.4184 5.1529
2.4184 2.4184 -5.1529
La Y Tl
1 2 1
Direct
0.0000 0.0000 0.0000
0.5000 0.5000 0.0000
0.7500 0.2500 0.5000
0.2500 0.7500 0.5000
```


# 10
Computed, not measured: an optimized crystal structure of CeY3Pa2N6 at the GGA-PBE level of DFT.

Properties
- E_form (uncorrected): -1.6438 eV per atom
- Space group: C2/m
- Total moment: 0.000 μB per cell

Geometry as POSCAR:
```
CeY3Pa2N6
1.0
7.6230 -1.7518 0.0000
7.6230 1.7518 0.0000
-1.6064 0.0000 6.8252
Ce Y Pa N
1 3 2 6
Direct
0.0000 0.0000 0.0000
0.0000 0.0000 0.5000
0.3344 0.3344 0.1660
0.6656 0.6656 0.8340
0.3340 0.3340 0.6687
0.6660 0.6660 0.3313
0.1686 0.1686 0.0953
0.1688 0.1688 0.5757
0.4937 0.4937 0.7430
0.5063 0.5063 0.2570
0.8312 0.8312 0.4243
0.8314 0.8314 0.9047
```


# 11
Computed, not measured: an optimized crystal structure of Ba3Cd2Ag9 at the GGA-PBE level of DFT.

Properties
- Space group: Immm
- Calculated formation energy: -0.2041 eV per atom
- Total moment: 0.000 μB per cell

Geometry as POSCAR:
```
Ba3Cd2Ag9
1.0
-2.4590 5.0067 7.3024
2.4590 -5.0067 7.3024
2.4590 5.0067 -7.3024
Ba Cd Ag
3 2 9
Direct
0.0000 0.0000 0.0000
0.2975 0.2975 0.0000
0.7025 0.7025 0.0000
0.3030 0.5000 0.8030
0.6970 0.5000 0.1970
0.0217 0.6678 0.3539
0.1536 0.8703 0.2833
0.3139 0.6678 0.6461
0.4130 0.1297 0.2833
0.5000 0.0000 0.5000
0.5870 0.8703 0.7167
0.6861 0.3322 0.3539
0.8464 0.1297 0.7167
0.9783 0.3322 0.6461
```


# 12
Computed, not measured: an optimized crystal structure of YCrNi at the GGA-PBE level of DFT.

Properties
- Energy above the most stable polymorph in this dataset: 0.0999 eV per atom
- Space group: I4mm
- Calculated formation energy: 0.2004 eV per atom
- Total moment: 3.342 μB per cell

Geometry as POSCAR:
```
YCrNi
1.0
-1.6422 1.6422 5.0262
1.6422 -1.6422 5.0262
1.6422 1.6422 -5.0262
Y Cr Ni
1 1 1
Direct
0.0000 0.0000 0.0000
0.2892 0.2892 0.0000
0.6959 0.6959 0.0000
```